Record 1
Entry from Alexandria via LeMat-Bulk: a geometry-optimized Tl3Ni structure (PBE-GGA).

a = 5.5451 Å, b = 5.5451 Å, c = 3.4613 Å
α = 90.00°, β = 90.00°, γ = 111.09°
Atoms (fractional coordinates):
Ni  0.0000  0.0000  0.0000
Tl  0.0000  0.5000  0.5000
Tl  0.5000  0.0000  0.5000
Tl  0.5000  0.5000  0.0000

Output
**Calculated formation energy**: 453 meV/atom
**Density of states at the Fermi level**: 3.086 states/eV per cell
**Crystal system**: orthorhombic
**Total moment**: 0.2 Bohr magnetons per cell
**Space group**: No. 65
**Final energy**: -11.07 eV/f.u.

Record 2
Entry from Alexandria via LeMat-Bulk: a geometry-optimized Rb2SrTe structure (PBE-GGA).

a = 12.9420 Å, b = 12.9420 Å, c = 9.6983 Å
α = 48.15°, β = 48.15°, γ = 90.00°
Atoms (fractional coordinates):
Sr  0.5000  0.5000  0.0000
Sr  0.2500  0.7500  0.5000
Te  0.0000  0.0000  0.0000
Te  0.7500  0.2500  0.5000
Rb  0.7553  0.1250  0.2500
Rb  0.9947  0.6250  0.2500
Rb  0.3750  0.2447  0.7500
Rb  0.8750  0.0053  0.7500

Output
**Density of states at the Fermi level**: 3.875 states/eV per cell
**Crystal system**: tetragonal
**ΔE_f (raw)**: -53.1 kJ per mole of atoms
**Total moment**: 0.0 Bohr magnetons per cell
**Space group**: No. 122
**Final energy**: -8.96 eV/f.u.

Record 3
Entry from Alexandria via LeMat-Bulk: a geometry-optimized TbGaFe4 structure (PBE-GGA).

a = 4.9643 Å, b = 4.9643 Å, c = 4.9643 Å
α = 60.00°, β = 60.00°, γ = 60.00°
Atoms (fractional coordinates):
Tb  0.2500  0.2500  0.2500
Fe  0.6261  0.6261  0.1217
Fe  0.6261  0.1217  0.6261
Fe  0.6261  0.6261  0.6261
Fe  0.1217  0.6261  0.6261
Ga  0.0000  0.0000  0.0000

Output
**Calculated formation energy**: -86 meV/atom
**Density of states at the Fermi level**: 6.915 states/eV per cell
**Crystal system**: cubic
**Total moment**: 7.6 Bohr magnetons per cell
**Space group**: No. 216
**Final energy**: -42.02 eV/f.u.

Record 4
Entry from Alexandria via LeMat-Bulk: a geometry-optimized Tm4CdPdRh2 structure (PBE-GGA).

a = 4.9111 Å, b = 4.9111 Å, c = 8.5245 Å
α = 73.26°, β = 73.26°, γ = 60.00°
Atoms (fractional coordinates):
Tm  0.3798  0.3798  0.8607
Tm  0.8712  0.8712  0.3864
Tm  0.1288  0.1288  0.6136
Tm  0.6202  0.6202  0.1393
Cd  0.0000  0.0000  0.0000
Pd  0.5000  0.5000  0.5000
Rh  0.7497  0.7497  0.7508
Rh  0.2503  0.2503  0.2492

Output
**Calculated formation energy**: -759 meV/atom
**Density of states at the Fermi level**: 5.200 states/eV per cell
**Crystal system**: trigonal
**Total moment**: 0.0 Bohr magnetons per cell
**Space group**: No. 166
**Final energy**: -44.77 eV/f.u.

Record 5
Entry from Alexandria via LeMat-Bulk: a geometry-optimized Ag2TeS2F2 structure (PBE-GGA).

a = 5.0081 Å, b = 5.1927 Å, c = 6.5325 Å
α = 72.35°, β = 75.20°, γ = 97.06°
Atoms (fractional coordinates):
Ag  0.2599  0.7536  0.5345
Ag  0.7401  0.2464  0.4655
Te  0.0000  0.0000  0.0000
S  0.2081  0.2474  0.5522
S  0.7919  0.7526  0.4478
F  0.7371  0.2729  0.0313
F  0.2629  0.7271  0.9687

Output
**Density of states at the Fermi level**: 1.883 states/eV per cell
**Crystal system**: triclinic
**ΔE_f (raw)**: -56.3 kJ per mole of atoms
**Total moment**: 0.6 Bohr magnetons per cell
**Space group**: No. 2
**Final energy**: -24.92 eV/f.u.

Record 6
Entry from Alexandria via LeMat-Bulk: a geometry-optimized PmGa2CoRh structure (PBE-GGA).

a = 4.1906 Å, b = 4.1906 Å, c = 5.8497 Å
α = 110.99°, β = 110.99°, γ = 90.00°
Atoms (fractional coordinates):
Pm  0.0000  0.0000  0.0000
Ga  0.6289  0.6289  0.2578
Ga  0.3711  0.3711  0.7422
Co  0.7500  0.2500  0.5000
Rh  0.2500  0.7500  0.5000

Output
**Calculated formation energy**: -590 meV/atom
**Density of states at the Fermi level**: 2.559 states/eV per cell
**Crystal system**: tetragonal
**Total moment**: 0.0 Bohr magnetons per cell
**Space group**: No. 119
**Final energy**: -28.21 eV/f.u.

Record 7
Entry from Alexandria via LeMat-Bulk: a geometry-optimized Ba2CaCdIr structure (PBE-GGA).

a = 6.1058 Å, b = 6.1058 Å, c = 5.5274 Å
α = 90.00°, β = 90.00°, γ = 90.00°
Atoms (fractional coordinates):
Ca  0.0000  0.0000  0.5000
Ir  0.0000  0.0000  0.0000
Ba  0.0000  0.5000  0.0000
Ba  0.5000  0.0000  0.0000
Cd  0.5000  0.5000  0.5000

Output
**Calculated formation energy**: -153 meV/atom
**Density of states at the Fermi level**: 2.983 states/eV per cell
**Crystal system**: tetragonal
**Total moment**: 0.0 Bohr magnetons per cell
**Space group**: No. 123
**Final energy**: -16.39 eV/f.u.

Record 8
Entry from Alexandria via LeMat-Bulk: a geometry-optimized Nd12Pu3Pd5 structure (PBE-GGA).

a = 15.3982 Å, b = 15.3982 Å, c = 15.3982 Å
α = 109.47°, β = 109.47°, γ = 109.47°
Atoms (fractional coordinates):
Pu  0.7500  0.3750  0.1250
Pu  0.8750  0.7500  0.1250
Pu  0.3750  0.7500  0.6250
Pu  0.2500  0.1250  0.3750
Pu  0.8750  0.1250  0.2500
Pu  0.3750  0.6250  0.2500
Pu  0.6250  0.3750  0.7500
Pu  0.1250  0.8750  0.7500
Pu  0.7500  0.8750  0.6250
Pu  0.6250  0.2500  0.3750
Pu  0.1250  0.2500  0.8750
Pu  0.2500  0.6250  0.8750
Pd  0.1250  0.3750  0.2500
Pd  0.0000  0.5000  0.0000
Pd  0.0000  0.0000  0.0000
Pd  0.3750  0.2500  0.1250
Pd  0.5000  0.0000  0.5000
Pd  0.5000  0.5000  0.0000
Pd  0.1250  0.7500  0.3750
Pd  0.7500  0.1250  0.8750
Pd  0.7500  0.6250  0.3750
Pd  0.3750  0.1250  0.7500
Pd  0.6250  0.8750  0.2500
Pd  0.5000  0.5000  0.5000
Pd  0.5000  0.0000  0.0000
Pd  0.0000  0.0000  0.5000
Pd  0.2500  0.3750  0.6250
Pd  0.2500  0.8750  0.1250
Pd  0.0000  0.5000  0.5000
Pd  0.8750  0.2500  0.6250
Pd  0.6250  0.7500  0.8750
Pd  0.8750  0.6250  0.7500
Nd  0.7129  0.1123  0.0363
Nd  0.3233  0.5363  0.4240
Nd  0.9637  0.3877  0.2871
Nd  0.5363  0.2129  0.1123
Nd  0.6006  0.7129  0.6767
Nd  0.9637  0.5760  0.1767
Nd  0.3233  0.7871  0.3994
Nd  0.0760  0.8994  0.1123
Nd  0.5760  0.9637  0.6767
Nd  0.7129  0.6006  0.1767
Nd  0.7871  0.4637  0.3877
Nd  0.8233  0.9240  0.0363
Nd  0.1123  0.7129  0.5363
Nd  0.3877  0.4240  0.1006
Nd  0.1006  0.9240  0.3877
Nd  0.3994  0.1123  0.5760
Nd  0.1006  0.1767  0.2129
Nd  0.4637  0.6767  0.0760
Nd  0.8233  0.8994  0.2871
Nd  0.1123  0.3994  0.0760
Nd  0.3877  0.9637  0.7871
Nd  0.5760  0.6123  0.3994
Nd  0.9240  0.8233  0.5363
Nd  0.7871  0.3233  0.8994
Nd  0.4240  0.3877  0.6006
Nd  0.0760  0.1767  0.4637
Nd  0.2129  0.6767  0.1006
Nd  0.1767  0.1006  0.7129
Nd  0.6123  0.0363  0.2129
Nd  0.8877  0.6006  0.9240
Nd  0.5363  0.3233  0.9240
Nd  0.6006  0.8877  0.4240
Nd  0.8994  0.8233  0.7871
Nd  0.8994  0.0760  0.6123
Nd  0.8877  0.2871  0.4637
Nd  0.1767  0.0760  0.9637
Nd  0.6123  0.5760  0.8994
Nd  0.4240  0.0363  0.3233
Nd  0.2871  0.3994  0.8233
Nd  0.2129  0.5363  0.6123
Nd  0.9240  0.1006  0.8877
Nd  0.6767  0.2129  0.6006
Nd  0.4637  0.7871  0.8877
Nd  0.0363  0.4240  0.8233
Nd  0.3994  0.2871  0.3233
Nd  0.0363  0.6123  0.7129
Nd  0.6767  0.4637  0.5760
Nd  0.2871  0.8877  0.9637

Output
**Calculated formation energy**: 189 meV/atom
**Density of states at the Fermi level**: 204.740 states/eV per cell
**Crystal system**: cubic
**Total moment**: 102.8 Bohr magnetons per cell
**Space group**: No. 230
**Final energy**: -122.40 eV/f.u.